Density functional theory data (PBE) for a relaxed structure of MgBeSb.

Computed properties:
- DFT total energy (eV/cell) = -8.4
- energy above the lowest structure with this stoichiometry (eV/f.u.) = 1.146
- formation energy (no corrections) (eV/atom) = 0.3457
- space-group type = No. 42

The structure in POSCAR format:
```
MgBeSb
1.0
6.3666 -0.0849 0.0709
5.3138 3.0603 0.0593
1.0528 -0.5710 3.0930
Sb Be Mg
1 1 1
Direct
0.3657 0.3657 0.6343 Sb
0.9919 0.9919 0.0081 Be
0.6424 0.6424 0.3576 Mg
```

=====

Density functional theory data (PBE) for a relaxed structure of Mg2BeSb2.

Computed properties:
- DFT total energy (eV/cell) = -28.6
- formation energy (no corrections) (eV/atom) = 0.1697
- space-group type = No. 127

The structure in POSCAR format:
```
Mg2BeSb2
1.0
-1.5449 4.6912 5.3758
-4.7799 -4.7641 2.7838
3.1265 -1.7298 2.4080
Mg Sb Be
4 4 2
Direct
0.1451 0.6451 0.5000 Mg
0.6451 0.8549 0.5000 Mg
0.8549 0.3549 0.5000 Mg
0.3549 0.1451 0.5000 Mg
0.3292 0.8292 0.0000 Sb
0.1708 0.3292 0.0000 Sb
0.6708 0.1708 0.0000 Sb
0.8292 0.6708 0.0000 Sb
0.0000 0.0000 0.0000 Be
0.5000 0.5000 0.0000 Be
```